No. 1
Here is a relaxed NaCr2IrO crystal from Alexandria via LeMat-Bulk. Energies are from GGA+U.

abc: 4.158 4.158 4.256
angles: 90.00 90.00 90.00
Element x y z (fractional)
Na  0.000  0.000  0.000
Cr  0.000  0.500  0.500
Cr  0.500  0.000  0.500
Ir  0.500  0.500  0.000
O  0.000  0.000  0.500

## Properties
E_tot   -31.2 eV/cell
Magnetization   7.60 μB/cell

No. 2
Here is a relaxed Na3Cr3IrO8 crystal from Alexandria via LeMat-Bulk. Energies are from GGA+U.

abc: 6.471 6.471 6.471
angles: 56.18 56.18 56.18
Element x y z (fractional)
Na  0.000  0.500  0.500
Na  0.500  0.000  0.500
Na  0.500  0.500  0.000
Cr  0.000  0.000  0.500
Cr  0.000  0.500  0.000
Cr  0.500  0.000  0.000
Ir  0.500  0.500  0.500
O  0.230  0.731  0.731
O  0.232  0.232  0.232
O  0.269  0.269  0.770
O  0.269  0.770  0.269
O  0.731  0.230  0.731
O  0.731  0.731  0.230
O  0.768  0.768  0.768
O  0.770  0.269  0.269

## Properties
E_tot   -100.0 eV/cell
Magnetization   7.97 μB/cell

No. 3
Here is a relaxed Na2Cr2IrO6 crystal from Alexandria via LeMat-Bulk. Energies are from GGA+U.

abc: 5.255 5.255 5.763
angles: 98.69 98.69 119.91
Element x y z (fractional)
Na  0.167  0.833  0.000
Na  0.833  0.167  0.000
Cr  0.335  0.665  0.500
Cr  0.665  0.335  0.500
Ir  0.000  0.000  0.500
O  0.058  0.399  0.690
O  0.269  0.269  0.307
O  0.399  0.058  0.690
O  0.601  0.942  0.310
O  0.731  0.731  0.693
O  0.942  0.601  0.310

## Properties
E_tot   -73.5 eV/cell
Magnetization   4.97 μB/cell

Which formula does entry 1 have? NaCr2IrO

Among the records above, which one has the highest E_tot? NaCr2IrO

E_tot of number 1 (NaCr2IrO)? -31.2 eV/cell

Among the records above, which one has the lowest E_tot? Na3Cr3IrO8